Record 1
# Ce7Zn2Rh2 (PBE-GGA, relaxed)
# **Density**: 7.75 g/cm3
# **Electronic total energy**: -5.575 eV per atom
# **Spin magnetization**: 2.81 μB per formula unit
data_Ce7Zn2Rh2
_symmetry_space_group_name_H-M 'C m m m'
_symmetry_Int_Tables_number 65
_symmetry_space_group_name_Hall '-C 2 2'
_cell_length_a 7.838
_cell_length_b 10.705
_cell_length_c 6.728
_cell_angle_alpha 90.00
_cell_angle_beta 90.00
_cell_angle_gamma 90.00
loop_
_atom_site_label
_atom_site_type_symbol
_atom_site_fract_x
_atom_site_fract_y
_atom_site_fract_z
Ce1 Ce 0.000 0.000 0.000
Ce2 Ce 0.000 0.500 0.294
Ce3 Ce 0.250 0.250 0.287
Zn1 Zn 0.153 0.000 0.500
Rh1 Rh 0.000 0.292 0.000



Record 2
# Ce2ZnRh3 (PBE-GGA, relaxed)
# **Density**: 8.74 g/cm3
# **Electronic total energy**: -6.435 eV per atom
# **Energy above the lowest structure with this stoichiometry**: 147 meV per atom
# **Spin magnetization**: 0.00 μB per formula unit
data_Ce2ZnRh3
_symmetry_space_group_name_H-M 'C 1 2/c 1'
_symmetry_Int_Tables_number 15
_cell_length_a 12.210
_cell_length_b 7.483
_cell_length_c 5.439
_cell_angle_alpha 90.00
_cell_angle_beta 90.02
_cell_angle_gamma 90.00
loop_
_symmetry_equiv_pos_as_xyz
'x,y,z'
'-x,-y,-z'
'-x,y,-z+1/2'
'x,-y,z+1/2'
'x+1/2,y+1/2,z'
'-x+1/2,-y+1/2,-z'
'-x+1/2,y+1/2,-z+1/2'
'x+1/2,-y+1/2,z+1/2'
loop_
_atom_site_label
_atom_site_type_symbol
_atom_site_fract_x
_atom_site_fract_y
_atom_site_fract_z
Ce1 Ce 0.149 0.188 0.254
Zn1 Zn 0.000 0.403 0.750
Rh1 Rh 0.000 0.057 0.750
Rh2 Rh 0.174 0.495 0.496



Record 3
# Ce2ZnRh4 (PBE-GGA, relaxed)
# **Density**: 8.92 g/cm3
# **Electronic total energy**: -6.623 eV per atom
# **Energy above the lowest structure with this stoichiometry**: 0 meV per atom
# **Spin magnetization**: 0.00 μB per formula unit
data_Ce2ZnRh4
_symmetry_space_group_name_H-M 'I 4/m m m'
_symmetry_Int_Tables_number 139
_symmetry_space_group_name_Hall '-I 4 2'
_cell_length_a 4.015
_cell_length_b 4.015
_cell_length_c 17.499
_cell_angle_alpha 90.00
_cell_angle_beta 90.00
_cell_angle_gamma 90.00
loop_
_atom_site_label
_atom_site_type_symbol
_atom_site_fract_x
_atom_site_fract_y
_atom_site_fract_z
Ce1 Ce 0.000 0.000 0.127
Zn1 Zn 0.000 0.000 0.500
Rh1 Rh 0.000 0.000 0.359
Rh2 Rh 0.000 0.500 0.250



Record 4
# Ce5ZnRh2 (PBE-GGA, relaxed)
# **Density**: 8.38 g/cm3
# **Electronic total energy**: -5.918 eV per atom
# **Spin magnetization**: 0.23 μB per formula unit
data_Ce5ZnRh2
_symmetry_space_group_name_H-M 'C m c m'
_symmetry_Int_Tables_number 63
_symmetry_space_group_name_Hall '-C 2c 2'
_cell_length_a 3.937
_cell_length_b 19.148
_cell_length_c 10.216
_cell_angle_alpha 90.00
_cell_angle_beta 90.00
_cell_angle_gamma 90.00
loop_
_atom_site_label
_atom_site_type_symbol
_atom_site_fract_x
_atom_site_fract_y
_atom_site_fract_z
Ce1 Ce 0.000 0.034 0.112
Ce2 Ce 0.000 0.236 0.250
Ce3 Ce 0.000 0.377 0.516
Zn1 Zn 0.000 0.113 0.750
Rh1 Rh 0.000 0.218 0.583



Record 5
# Ce2Zn15Rh2 (PBE-GGA, relaxed)
# **Density**: 7.89 g/cm3
# **Electronic total energy**: -2.700 eV per atom
# **Spin magnetization**: 0.70 μB per formula unit
data_Ce2Zn15Rh2
_symmetry_space_group_name_H-M 'R -3 m'
_symmetry_Int_Tables_number 166
_symmetry_space_group_name_Hall '-R 3 2"'
_cell_length_a 9.1233
_cell_length_b 9.1233
_cell_length_c 12.8492
_cell_angle_alpha 90.00
_cell_angle_beta 90.00
_cell_angle_gamma 120.00
loop_
_atom_site_label
_atom_site_type_symbol
_atom_site_fract_x
_atom_site_fract_y
_atom_site_fract_z
Ce1 Ce 0.0000 0.0000 0.1700
Zn1 Zn 0.0000 0.2827 0.5000
Zn2 Zn 0.0000 0.5000 0.0000
Zn3 Zn 0.0077 0.5039 0.6505
Rh1 Rh 0.0000 0.0000 0.3798



Record 6
# Ce4ZnRh (PBE-GGA, relaxed)
# **Density**: 8.43 g/cm3
# **Electronic total energy**: -5.587 eV per atom
# **Spin magnetization**: 0.00 μB per formula unit
data_Ce4ZnRh
_symmetry_space_group_name_H-M 'C 1 2/c 1'
_symmetry_Int_Tables_number 15
_cell_length_a 6.634
_cell_length_b 15.373
_cell_length_c 5.862
_cell_angle_alpha 90.00
_cell_angle_beta 106.11
_cell_angle_gamma 90.00
loop_
_symmetry_equiv_pos_as_xyz
'x,y,z'
'-x,-y,-z'
'-x,y,-z+1/2'
'x,-y,z+1/2'
'x+1/2,y+1/2,z'
'-x+1/2,-y+1/2,-z'
'-x+1/2,y+1/2,-z+1/2'
'x+1/2,-y+1/2,z+1/2'
loop_
_atom_site_label
_atom_site_type_symbol
_atom_site_fract_x
_atom_site_fract_y
_atom_site_fract_z
Ce1 Ce 0.193 0.236 0.209
Ce2 Ce 0.243 0.087 0.699
Zn1 Zn 0.000 0.414 0.750
Rh1 Rh 0.000 0.063 0.250



Record 7
# CeZn4Rh2 (PBE-GGA, relaxed)
# **Density**: 8.43 g/cm3
# **Electronic total energy**: -4.166 eV per atom
# **Spin magnetization**: 0.05 μB per formula unit
data_CeZn4Rh2
_symmetry_space_group_name_H-M 'P 42/m n m'
_symmetry_Int_Tables_number 136
_symmetry_space_group_name_Hall '-P 4n 2n'
_cell_length_a 7.935
_cell_length_b 7.935
_cell_length_c 3.803
_cell_angle_alpha 90.00
_cell_angle_beta 90.00
_cell_angle_gamma 90.00
loop_
_atom_site_label
_atom_site_type_symbol
_atom_site_fract_x
_atom_site_fract_y
_atom_site_fract_z
Ce1 Ce 0.000 0.000 0.000
Zn1 Zn 0.100 0.351 0.500
Rh1 Rh 0.177 0.823 0.500



Record 8
# CeZnRh (PBE-GGA, relaxed)
# **Density**: 9.03 g/cm3
# **Electronic total energy**: -5.292 eV per atom
# **Spin magnetization**: 0.00 μB per formula unit
data_CeZnRh
_symmetry_space_group_name_H-M 'P 1 21/m 1'
_symmetry_Int_Tables_number 11
_cell_length_a 4.383
_cell_length_b 4.615
_cell_length_c 5.772
_cell_angle_alpha 90.00
_cell_angle_beta 103.71
_cell_angle_gamma 90.00
loop_
_symmetry_equiv_pos_as_xyz
'x,y,z'
'-x,-y,-z'
'-x,y+1/2,-z'
'x,-y+1/2,z'
loop_
_atom_site_label
_atom_site_type_symbol
_atom_site_fract_x
_atom_site_fract_y
_atom_site_fract_z
Ce1 Ce 0.200 0.250 0.073
Zn1 Zn 0.446 0.250 0.636
Rh1 Rh 0.141 0.750 0.622



Record 9
# CeZnRh (PBE-GGA, relaxed)
# **Density**: 8.45 g/cm3
# **Electronic total energy**: -5.383 eV per atom
# **Spin magnetization**: 0.61 μB per formula unit
data_CeZnRh
_symmetry_space_group_name_H-M 'P -6 m 2'
_symmetry_Int_Tables_number 187
_symmetry_space_group_name_Hall 'P -6 2'
_cell_length_a 4.4203
_cell_length_b 4.4203
_cell_length_c 3.5832
_cell_angle_alpha 90.00
_cell_angle_beta 90.00
_cell_angle_gamma 120.00
loop_
_atom_site_label
_atom_site_type_symbol
_atom_site_fract_x
_atom_site_fract_y
_atom_site_fract_z
Ce1 Ce 0.0000 0.0000 0.0000
Zn1 Zn 0.3333 0.6667 0.5000
Rh1 Rh 0.6667 0.3333 0.5000



Record 10
# Ce6ZnRh3 (PBE-GGA, relaxed)
# **Density**: 7.95 g/cm3
# **Electronic total energy**: -6.241 eV per atom
# **Spin magnetization**: 2.45 μB per formula unit
data_Ce6ZnRh3
_symmetry_space_group_name_H-M 'C m c 21'
_symmetry_Int_Tables_number 36
_cell_length_a 10.878
_cell_length_b 13.713
_cell_length_c 6.809
_cell_angle_alpha 90.00
_cell_angle_beta 90.00
_cell_angle_gamma 90.00
loop_
_symmetry_equiv_pos_as_xyz
'x,y,z'
'-x,-y,z+1/2'
'-x,y,z'
'x,-y,z+1/2'
'x+1/2,y+1/2,z'
'-x+1/2,-y+1/2,z+1/2'
'-x+1/2,y+1/2,z'
'x+1/2,-y+1/2,z+1/2'
loop_
_atom_site_label
_atom_site_type_symbol
_atom_site_fract_x
_atom_site_fract_y
_atom_site_fract_z
Ce1 Ce 0.000 0.006 0.000
Ce2 Ce 0.000 0.237 0.737
Ce3 Ce 0.164 0.431 0.541
Ce4 Ce 0.193 0.297 0.990
Zn1 Zn 0.000 0.207 0.275
Rh1 Rh 0.000 0.441 0.854
Rh2 Rh 0.178 0.084 0.751



Record 11
# Ce2ZnRh4 (PBE-GGA, relaxed)
# **Density**: 9.00 g/cm3
# **Electronic total energy**: -6.565 eV per atom
# **Energy above the lowest structure with this stoichiometry**: 58 meV per atom
# **Spin magnetization**: 0.00 μB per formula unit
data_Ce2ZnRh4
_symmetry_space_group_name_H-M 'I 4/m m m'
_symmetry_Int_Tables_number 139
_symmetry_space_group_name_Hall '-I 4 2'
_cell_length_a 6.089
_cell_length_b 6.089
_cell_length_c 7.536
_cell_angle_alpha 90.00
_cell_angle_beta 90.00
_cell_angle_gamma 90.00
loop_
_atom_site_label
_atom_site_type_symbol
_atom_site_fract_x
_atom_site_fract_y
_atom_site_fract_z
Ce1 Ce 0.000 0.500 0.250
Zn1 Zn 0.000 0.000 0.000
Rh1 Rh 0.218 0.218 0.500